Compound: SiTc3
Source: Alexandria via LeMat-Bulk
Functional: PBE
Structure: optimized geometry

As for the crystal system: orthorhombic. The value obtained for the energy above the most stable polymorph in this dataset is 366 meV per atom.

The structure belongs to space group Pmm2 (No. 25); the cell edges are 2.943, 3.058 and 6.842 Å and the angles 90.00°, 90.00° and 90.00°. The inequivalent atoms are Si at (0.000, 0.000, 0.000), Tc at (0.000, 0.500, 0.494), Tc at (0.500, 0.000, 0.707) and Tc at (0.500, 0.500, 0.174).